Run a
# HoScIn

An optimized crystal structure of HoScIn (PBE-GGA, Alexandria).

Cell: 5.1955 5.1955 3.1655 Å, 90.00 90.00 120.00°
Element x y z (fractional)
Ho: 0.0000 0.0000 0.0000
Sc: 0.6667 0.3333 0.0026
In: 0.3333 0.6667 0.5014

Computed properties:
Symmetry: P3m1, No. 156
V in Å³/atom: 24.67
Mass density in g/cm³: 7.3

---

Run b
# HoScIn

An optimized crystal structure of HoScIn (PBE-GGA, Alexandria).

Cell: 7.0531 7.0531 7.0531 Å, 151.99 151.99 40.02°
Element x y z (fractional)
Ho: 0.0000 0.0000 0.0000
Sc: 0.6812 0.6812 0.0000
In: 0.3308 0.3308 0.0000

Computed properties:
Symmetry: I4mm, No. 107
V in Å³/atom: 25.74
Mass density in g/cm³: 7.0

---

Run c
# HoScIn

An optimized crystal structure of HoScIn (PBE-GGA, Alexandria).

Cell: 5.1769 5.1769 6.5776 Å, 90.00 90.00 120.00°
Element x y z (fractional)
Ho: 0.0000 0.0000 0.0000
Ho: 0.0000 0.0000 0.5000
Sc: 0.3333 0.6667 0.2500
Sc: 0.6667 0.3333 0.7500
In: 0.3333 0.6667 0.7500
In: 0.6667 0.3333 0.2500

Computed properties:
Symmetry: P6_3/mmc, No. 194
V in Å³/atom: 25.44
Mass density in g/cm³: 7.1

---

Calculated relative energies: run a 0.291; run b 0.068; run c 0.000, given in eV/atom

---

Run a
# Ho2ScIn4

An optimized crystal structure of Ho2ScIn4 (PBE-GGA, Alexandria).

Cell: 8.0388 8.0388 8.0388 Å, 142.85 142.85 53.56°
Element x y z (fractional)
Ho: 0.2479 0.2479 0.0000
Ho: 0.7521 0.7521 0.0000
Sc: 0.0000 0.0000 0.0000
In: 0.1093 0.6093 0.5000
In: 0.3907 0.8907 0.5000
In: 0.6093 0.1093 0.5000
In: 0.8907 0.3907 0.5000

Computed properties:
Symmetry: I4/mmm, No. 139
V in Å³/atom: 26.90
Mass density in g/cm³: 7.4

---

Run b
# Ho2ScIn4

An optimized crystal structure of Ho2ScIn4 (PBE-GGA, Alexandria).

Cell: 8.6577 8.6577 8.6577 Å, 143.82 143.82 52.10°
Element x y z (fractional)
Ho: 0.1118 0.1118 0.0000
Ho: 0.8882 0.8882 0.0000
Sc: 0.5000 0.5000 0.0000
In: 0.0000 0.5000 0.5000
In: 0.3127 0.3127 0.0000
In: 0.5000 0.0000 0.5000
In: 0.6873 0.6873 0.0000

Computed properties:
Symmetry: I4/mmm, No. 139
V in Å³/atom: 32.13
Mass density in g/cm³: 6.2

---

Calculated relative energies: run a 0.000; run b 0.443, given in eV/atom

---

Run a
# Ho3Sc2In

An optimized crystal structure of Ho3Sc2In (PBE-GGA, Alexandria).

Cell: 9.3795 9.3795 9.3795 Å, 137.71 57.67 142.66°
Element x y z (fractional)
Ho: 0.2978 0.2357 0.0621
Ho: 0.3116 0.5616 0.7500
Ho: 0.3263 0.7643 0.5621
Ho: 0.6737 0.2357 0.4379
Ho: 0.6884 0.4384 0.2500
Ho: 0.7022 0.7643 0.9379
Sc: 0.1371 0.0000 0.6371
Sc: 0.1371 0.5000 0.1371
Sc: 0.8629 0.0000 0.3629
Sc: 0.8629 0.5000 0.8629
In: 0.1966 0.9466 0.2500
In: 0.8034 0.0534 0.7500

Computed properties:
Symmetry: Imma, No. 74
V in Å³/atom: 27.82
Mass density in g/cm³: 7.0

---

Run b
# Ho3Sc2In

An optimized crystal structure of Ho3Sc2In (PBE-GGA, Alexandria).

Cell: 6.2960 6.2960 9.4001 Å, 90.87 90.87 118.29°
Element x y z (fractional)
Ho: 0.0070 0.3209 0.6162
Ho: 0.1162 0.8838 0.7500
Ho: 0.3209 0.0070 0.1162
Ho: 0.6791 0.9930 0.8838
Ho: 0.8838 0.1162 0.2500
Ho: 0.9930 0.6791 0.3838
Sc: 0.2178 0.4477 0.9500
Sc: 0.4477 0.2178 0.4500
Sc: 0.5523 0.7822 0.5500
Sc: 0.7822 0.5523 0.0500
In: 0.4204 0.5796 0.2500
In: 0.5796 0.4204 0.7500

Computed properties:
Symmetry: C2/c, No. 15
V in Å³/atom: 27.33
Mass density in g/cm³: 7.1

---

Calculated relative energies: run a 0.027; run b 0.000, given in eV/atom

---

Run a
# Ho4ScIn2

An optimized crystal structure of Ho4ScIn2 (PBE-GGA, Alexandria).

Cell: 7.6611 7.6611 7.6611 Å, 136.91 136.91 62.58°
Element x y z (fractional)
Ho: 0.0000 0.5000 0.5000
Ho: 0.2500 0.7500 0.5000
Ho: 0.5000 0.0000 0.5000
Ho: 0.7500 0.2500 0.5000
Sc: 0.0000 0.0000 0.0000
In: 0.3760 0.3760 0.0000
In: 0.6240 0.6240 0.0000

Computed properties:
Symmetry: I4/mmm, No. 139
V in Å³/atom: 29.61
Mass density in g/cm³: 7.5

---

Run b
# Ho4ScIn2

An optimized crystal structure of Ho4ScIn2 (PBE-GGA, Alexandria).

Cell: 9.0942 9.0942 9.0942 Å, 34.53 34.53 34.53°
Element x y z (fractional)
Ho: 0.1298 0.1298 0.1298
Ho: 0.2660 0.2660 0.2660
Ho: 0.7340 0.7340 0.7340
Ho: 0.8702 0.8702 0.8702
Sc: 0.5000 0.5000 0.5000
In: 0.3866 0.3866 0.3866
In: 0.6134 0.6134 0.6134

Computed properties:
Symmetry: R-3m, No. 166
V in Å³/atom: 30.80
Mass density in g/cm³: 7.2

---

Calculated relative energies: run a 0.159; run b 0.000, given in eV/atom